[1]
Entry from OQMD via LeMat-Bulk: an optimized crystal structure of LaGdPd (PBE).

Lattice parameters (Å, degrees): 5.0143 5.0143 5.0143 60.00 60.00 60.00
Closest atoms and distances in Å follow each position.
Fractional positions:
La1 0.0000 0.0000 0.0000  4 Pd 3.07
Gd1 0.5000 0.5000 0.5000  4 Pd 3.07
Pd1 0.7500 0.7500 0.7500  4 Gd 3.07, 4 La 3.07

Calculated values
Formation energy from the elements, meV per atom: -405
DFT total energy, eV/atom: -5.32
SG: F-43m (216)


[2]
Entry from OQMD via LeMat-Bulk: an optimized crystal structure of HfInHg3S4 (PBE).

Lattice parameters (Å, degrees): 7.1772 7.6030 10.4069 90.00 109.14 90.00
Closest atoms and distances in Å follow each position.
Fractional positions:
Hf1 0.0151 0.2500 0.2483  4 S 2.39-2.43
Hf2 0.9849 0.7500 0.7517  4 S 2.39-2.43
In1 0.1657 0.2500 0.9253  4 S 3.07-3.30
In2 0.8343 0.7500 0.0747  4 S 3.07-3.30
Hg1 0.2943 0.5413 0.4670  2 S 2.74-2.75, 2 Hg 2.87-2.88
Hg2 0.2943 0.9587 0.4670  2 S 2.74-2.75, 2 Hg 2.87-2.88
Hg3 0.4732 0.7500 0.7070  1 S 2.49
Hg4 0.5268 0.2500 0.2930  1 S 2.49
Hg5 0.7057 0.0413 0.5330  2 S 2.74-2.75, 2 Hg 2.87-2.88
Hg6 0.7057 0.4587 0.5330  2 S 2.74-2.75, 2 Hg 2.87-2.88
S1 0.0839 0.2500 0.4928  1 Hf 2.43
S2 0.1813 0.0044 0.1903  1 Hf 2.40
S3 0.1813 0.4956 0.1903  1 Hf 2.40
S4 0.3240 0.7500 0.8921  1 Hf 2.39, 1 Hg 2.49
S5 0.6760 0.2500 0.1079  1 Hf 2.39, 1 Hg 2.49
S6 0.8187 0.5044 0.8097  1 Hf 2.40
S7 0.8187 0.9956 0.8097  1 Hf 2.40
S8 0.9161 0.7500 0.5072  1 Hf 2.43

Calculated values
DFT total energy, eV/atom: -3.79
SG: P2_1/m (11)


[3]
Entry from OQMD via LeMat-Bulk: an optimized crystal structure of ZnH2 (PBE).

Lattice parameters (Å, degrees): 2.7711 2.7711 9.0964 90.00 90.00 120.00
Closest atoms and distances in Å follow each position.
Fractional positions:
Zn1 0.3333 0.6667 0.0000  6 H 1.88
Zn2 0.6667 0.3333 0.5000  6 H 1.88
H1 0.0000 0.0000 0.3924  3 Zn 1.88
H2 0.0000 0.0000 0.8924  3 Zn 1.88
H3 0.3333 0.6667 0.6079  3 Zn 1.88
H4 0.6667 0.3333 0.1079  3 Zn 1.88

Calculated values
DFT total energy, eV/atom: -2.39
SG: P6_3mc (186)


[4]
Entry from OQMD via LeMat-Bulk: an optimized crystal structure of LaBeSiIr (PBE).

Lattice parameters (Å, degrees): 4.6831 4.6831 4.6831 60.00 60.00 60.00
Closest atoms and distances in Å follow each position.
Fractional positions:
La1 0.0000 0.0000 0.0000  4 Ir 2.87, 4 Si 2.87
Be1 0.5000 0.5000 0.5000  4 Ir 2.87, 4 Si 2.87
Si1 0.2500 0.2500 0.2500  4 La 2.87, 4 Be 2.87
Ir1 0.7500 0.7500 0.7500  4 La 2.87, 4 Be 2.87

Calculated values
DFT total energy, eV/atom: -5.62
SG: F-43m (216)


[5]
Entry from OQMD via LeMat-Bulk: an optimized crystal structure of CoRe2Pd (PBE).

Lattice parameters (Å, degrees): 4.2969 4.2969 4.2969 60.00 60.00 60.00
Closest atoms and distances in Å follow each position.
Fractional positions:
Co1 0.0000 0.0000 0.0000  4 Re 2.63, 4 Pd 2.63
Re1 0.2500 0.2500 0.2500  4 Re 2.63, 4 Co 2.63
Re2 0.5000 0.5000 0.5000  4 Re 2.63, 4 Pd 2.63
Pd1 0.7500 0.7500 0.7500  4 Co 2.63, 4 Re 2.63

Calculated values
Formation energy from the elements, meV per atom: 304
DFT total energy, eV/atom: -8.98
SG: F-43m (216)


[6]
Entry from OQMD via LeMat-Bulk: an optimized crystal structure of MgPaTc (PBE).

Lattice parameters (Å, degrees): 4.6598 4.6598 4.6598 60.00 60.00 60.00
Closest atoms and distances in Å follow each position.
Fractional positions:
Mg1 0.0000 0.0000 0.0000  4 Pa 2.85
Pa1 0.2500 0.2500 0.2500  4 Tc 2.85, 4 Mg 2.85
Tc1 0.5000 0.5000 0.5000  4 Pa 2.85

Calculated values
DFT total energy, eV/atom: -6.13
SG: F-43m (216)